This record from Alexandria describes a crystal of Li2CuAu relaxed with PBEsol. The functional is meta-GGA SCAN.

a b c (Å): 4.260 4.260 4.260
angles (deg): 60.00 60.00 60.00
Sites, in units of the cell vectors:
Li1 0.000 0.000 0.000
Li2 0.250 0.250 0.250
Cu1 0.750 0.750 0.750
Au1 0.500 0.500 0.500

Total magnetization ... 0.000 Bohr magnetons per cell
E ... -90.7 eV for the cell shown
Density ... 8337 kg/m3